The following is a DFT calculation (PBE) of an optimized crystal structure of Tb4Nd15Sm.

Lattice parameters (Å, degrees): 5.1753 5.1753 25.7773 90.00 90.00 90.00
Last column: nearest neighbours and their distance in Å.
Fractional positions:
1 Tb 0.0000 0.0000 0.2004  12 Nd 3.65-3.66
2 Tb 0.0000 0.0000 0.4001  12 Nd 3.65-3.66
3 Tb 0.0000 0.0000 0.5999  12 Nd 3.65-3.66
4 Tb 0.0000 0.0000 0.7996  12 Nd 3.65-3.66
5 Nd 0.5000 0.5000 0.0000  4 Sm 3.66, 8 Nd 3.66
6 Nd 0.5000 0.5000 0.2006  8 Nd 3.65, 4 Tb 3.66
7 Nd 0.5000 0.5000 0.4000  8 Nd 3.65, 4 Tb 3.66
8 Nd 0.5000 0.5000 0.6000  8 Nd 3.65, 4 Tb 3.66
9 Nd 0.5000 0.5000 0.7994  8 Nd 3.65, 4 Tb 3.66
10 Nd 0.5000 0.0000 0.1006  2 Tb 3.65, 8 Nd 3.65-3.66, 2 Sm 3.66
11 Nd 0.5000 0.0000 0.3002  8 Nd 3.65-3.66, 4 Tb 3.65
12 Nd 0.5000 0.0000 0.5000  4 Tb 3.65, 8 Nd 3.65-3.66
13 Nd 0.5000 0.0000 0.6998  8 Nd 3.65-3.66, 4 Tb 3.65
14 Nd 0.5000 0.0000 0.8994  2 Tb 3.65, 8 Nd 3.65-3.66, 2 Sm 3.66
15 Nd 0.0000 0.5000 0.1006  2 Tb 3.65, 8 Nd 3.65-3.66, 2 Sm 3.66
16 Nd 0.0000 0.5000 0.3002  8 Nd 3.65-3.66, 4 Tb 3.65
17 Nd 0.0000 0.5000 0.5000  4 Tb 3.65, 8 Nd 3.65-3.66
18 Nd 0.0000 0.5000 0.6998  8 Nd 3.65-3.66, 4 Tb 3.65
19 Nd 0.0000 0.5000 0.8994  2 Tb 3.65, 8 Nd 3.65-3.66, 2 Sm 3.66
20 Sm 0.0000 0.0000 0.0000  12 Nd 3.66

Properties
Its space group is P4/mmm. The calculation puts the total DFT energy (no corrections) at -4.73 eV/atom. Its crystal system is tetragonal. The calculation puts the energy of formation from the pure elements at 25 kJ/mol of formula units.



The following is a DFT calculation (PBE) of an optimized crystal structure of CsCeSe3.

Lattice parameters (Å, degrees): 4.3541 9.6505 10.5894 118.38 90.00 103.04
Last column: nearest neighbours and their distance in Å.
Fractional positions:
1 Cs 0.6071 0.2142 0.2809  6 Se 3.59-3.96
2 Cs 0.3929 0.7858 0.7191  6 Se 3.59-3.96
3 Ce 0.8173 0.6346 0.2010  6 Se 2.84-2.94
4 Ce 0.1827 0.3654 0.7990  6 Se 2.84-2.94
5 Se 0.9919 0.9839 0.3828  1 Se 2.35
6 Se 0.0081 0.0161 0.6172  1 Se 2.35
7 Se 0.3473 0.6946 0.0468  3 Ce 2.92-2.94
8 Se 0.6527 0.3054 0.9532  3 Ce 2.92-2.94
9 Se 0.2768 0.5537 0.3266  2 Ce 2.84
10 Se 0.7232 0.4463 0.6734  2 Ce 2.84

Properties
Its space group is C2/m. The calculation puts the total DFT energy (no corrections) at -4.80 eV/atom. Its crystal system is monoclinic. The value obtained for the excess energy over the best structure of this formula in the dataset is 0.0 meV per atom. The value obtained for the formation energy (no corrections) is -1347 meV per atom.



The following is a DFT calculation (PBE) of an optimized crystal structure of Ba2Cu5Pt5.

Lattice parameters (Å, degrees): 4.1382 5.6211 9.4574 90.00 90.00 90.00
Last column: nearest neighbours and their distance in Å.
Fractional positions:
1 Ba 0.0000 0.5000 0.0000  10 Cu 3.14-3.49, 8 Pt 3.41
2 Ba 0.0000 0.0000 0.5000  6 Cu 3.20-3.23, 12 Pt 3.47-3.49
3 Cu 0.0000 0.5000 0.3318  6 Pt 2.61-2.64
4 Cu 0.0000 0.0000 0.8383  2 Cu 2.57, 4 Pt 2.61
5 Cu 0.0000 0.0000 0.1617  2 Cu 2.57, 4 Pt 2.61
6 Cu 0.0000 0.5000 0.6682  6 Pt 2.61-2.64
7 Cu 0.5000 0.0000 0.0000  4 Cu 2.57, 4 Pt 2.70
8 Pt 0.5000 0.5000 0.5000  4 Cu 2.61, 4 Pt 2.80
9 Pt 0.5000 0.7525 0.2445  5 Cu 2.61-2.70, 3 Pt 2.78-2.84
10 Pt 0.5000 0.2475 0.7555  5 Cu 2.61-2.70, 3 Pt 2.78-2.84
11 Pt 0.5000 0.2475 0.2445  5 Cu 2.61-2.70, 3 Pt 2.78-2.84
12 Pt 0.5000 0.7525 0.7555  5 Cu 2.61-2.70, 3 Pt 2.78-2.84

Properties
Its space group is Pmmm. The calculation puts the total DFT energy (no corrections) at -4.99 eV/atom. Its crystal system is orthorhombic. The calculation puts the energy of formation from the pure elements at -512 kJ/mol of formula units.



The following is a DFT calculation (PBE) of an optimized crystal structure of PmTmGaPd.

Lattice parameters (Å, degrees): 3.7767 4.4750 5.8798 90.00 108.73 90.00
Last column: nearest neighbours and their distance in Å.
Fractional positions:
1 Pm 0.1458 0.0000 0.2916  4 Ga 3.04, 3 Pd 3.08-3.13
2 Tm 0.8595 0.5000 0.7190  4 Pd 3.01, 3 Ga 3.03-3.20
3 Ga 0.5726 0.5000 0.1451  2 Pd 2.80, 2 Tm 3.03, 4 Pm 3.04
4 Pd 0.4221 0.0000 0.8442  2 Ga 2.80, 4 Tm 3.01, 3 Pm 3.08-3.13

Properties
Its space group is Amm2. The calculation puts the total DFT energy (no corrections) at -5.07 eV/atom. Its crystal system is orthorhombic. The calculation puts the energy of formation from the pure elements at -276 kJ/mol of formula units. The value obtained for the excess energy over the best structure of this formula in the dataset is 0.0 meV per atom.



The following is a DFT calculation (PBE) of an optimized crystal structure of La2Ce2In3.

Lattice parameters (Å, degrees): 4.7576 3.5424 12.3716 90.00 78.91 90.00
Last column: nearest neighbours and their distance in Å.
Fractional positions:
1 La 0.7010 0.5000 0.5980  1 Ce 3.27, 4 In 3.34, 4 La 3.36-3.54
2 La 0.2990 0.5000 0.4020  1 Ce 3.27, 4 In 3.34, 4 La 3.36-3.54
3 Ce 0.5664 0.5000 0.8673  3 Ce 3.22-3.54, 1 La 3.27, 8 In 3.38-3.43
4 Ce 0.4336 0.5000 0.1327  3 Ce 3.22-3.54, 1 La 3.27, 8 In 3.38-3.43
5 In 0.8623 0.0000 0.2754  4 La 3.34, 3 In 3.34-3.54, 4 Ce 3.43
6 In 0.0000 0.0000 0.0000  4 In 3.34-3.54, 8 Ce 3.38
7 In 0.1377 0.0000 0.7246  4 La 3.34, 3 In 3.34-3.54, 4 Ce 3.43

Properties
Its space group is Cmmm. The calculation puts the total DFT energy (no corrections) at -4.58 eV/atom. Its crystal system is orthorhombic. The calculation puts the energy of formation from the pure elements at -207 kJ/mol of formula units.



The following is a DFT calculation (PBE) of an optimized crystal structure of ScP2PtCl.

Lattice parameters (Å, degrees): 4.6789 4.6789 4.8728 90.00 90.00 90.00
Last column: nearest neighbours and their distance in Å.
Fractional positions:
1 Sc 0.5000 0.5000 0.5000  4 Cl 3.31, 8 P 3.38
2 P 0.0000 0.5000 0.0000  2 Pt 2.34
3 P 0.5000 0.0000 0.0000  2 Pt 2.34
4 Pt 0.0000 0.0000 0.0000  4 P 2.34, 2 Cl 2.44
5 Cl 0.0000 0.0000 0.5000  2 Pt 2.44

Properties
Its space group is P4/mmm. The calculation puts the total DFT energy (no corrections) at -4.92 eV/atom. Its crystal system is tetragonal. The value obtained for the excess energy over the best structure of this formula in the dataset is 0.0 meV per atom. The value obtained for the formation energy (no corrections) is 91 meV per atom.